1.
The following is a DFT calculation (PBE-GGA) of crystalline KRbTl3 at its relaxed geometry.

Results
polymorph energy (0 for the lowest one): 248 kJ/mol of formula units
energy relative to the elements: 0.46 eV per atom

Cell and atoms, written as CIF:
```
data_KRbTl3
_chemical_formula_sum 'K1 Rb1 Tl3'
_space_group_name_H-M_alt 'P m -3 m'
_space_group_IT_number 221
_space_group_name_Hall '-P 4 2 3'
_cell_length_a 6.4998
_cell_length_b 6.4998
_cell_length_c 6.4998
_cell_angle_alpha 90.00
_cell_angle_beta 90.00
_cell_angle_gamma 90.00
loop_
_atom_site_label
_atom_site_fract_x
_atom_site_fract_y
_atom_site_fract_z
K1 0.0000 0.0000 0.0000
Rb1 0.5000 0.5000 0.5000
Tl1 0.0000 0.5000 0.5000
```

2.
The following is a DFT calculation (PBE-GGA) of crystalline Pm3Sm4Y at its relaxed geometry.

Results
polymorph energy (0 for the lowest one): 96 kJ/mol of formula units
energy relative to the elements: 0.15 eV per atom

Cell and atoms, written as CIF:
```
data_Pm3Sm4Y
_chemical_formula_sum 'Pm6 Sm8 Y2'
_space_group_name_H-M_alt 'C 1 2/m 1'
_space_group_IT_number 12
_cell_length_a 23.7020
_cell_length_b 3.5167
_cell_length_c 6.8824
_cell_angle_alpha 90.00
_cell_angle_beta 106.87
_cell_angle_gamma 90.00
loop_
_space_group_symop_operation_xyz
'x,y,z'
'-x,-y,-z'
'-x,y,-z'
'x,-y,z'
'x+1/2,y+1/2,z'
'-x+1/2,-y+1/2,-z'
'-x+1/2,y+1/2,-z'
'x+1/2,-y+1/2,z'
loop_
_atom_site_label
_atom_site_fract_x
_atom_site_fract_y
_atom_site_fract_z
Pm1 0.0000 0.0000 0.0000
Pm2 0.1248 0.0000 0.3837
Sm1 0.1243 0.0000 0.8658
Sm2 0.2413 0.5000 0.7433
Y1 0.0000 0.5000 0.5000
```

3.
The following is a DFT calculation (PBE-GGA) of crystalline Pr8BiTe4Se3 at its relaxed geometry.

Results
raw formation energy: -1.532 eV per atom

Cell and atoms, written as CIF:
```
data_Pr8BiTe4Se3
_chemical_formula_sum 'Pr24 Bi3 Te12 Se9'
_space_group_name_H-M_alt 'R -3 m'
_space_group_IT_number 166
_space_group_name_Hall '-R 3 2"'
_cell_length_a 8.8696
_cell_length_b 8.8696
_cell_length_c 22.0274
_cell_angle_alpha 90.00
_cell_angle_beta 90.00
_cell_angle_gamma 120.00
loop_
_atom_site_label
_atom_site_fract_x
_atom_site_fract_y
_atom_site_fract_z
Pr1 0.0000 0.0000 0.2397
Pr2 0.0158 0.5079 0.7573
Bi1 0.0000 0.0000 0.5000
Te1 0.0000 0.0000 0.0000
Te2 0.0000 0.5000 0.0000
Se1 0.0000 0.5000 0.5000
```

4.
The following is a DFT calculation (PBE-GGA) of crystalline Tl4MoAs at its relaxed geometry.

Results
energy relative to the elements: 0.94 eV per atom

Cell and atoms, written as CIF:
```
data_Tl4MoAs
_chemical_formula_sum 'Tl16 Mo4 As4'
_space_group_name_H-M_alt 'F -4 3 m'
_space_group_IT_number 216
_space_group_name_Hall 'F -4 2 3'
_cell_length_a 8.8359
_cell_length_b 8.8359
_cell_length_c 8.8359
_cell_angle_alpha 90.00
_cell_angle_beta 90.00
_cell_angle_gamma 90.00
loop_
_atom_site_label
_atom_site_fract_x
_atom_site_fract_y
_atom_site_fract_z
Tl1 0.1248 0.1248 0.1248
Mo1 0.0000 0.0000 0.5000
As1 0.2500 0.2500 0.7500
```

5.
The following is a DFT calculation (PBE-GGA) of crystalline Tl6Hg3S at its relaxed geometry.

Results
raw formation energy: -0.052 eV per atom

Cell and atoms, written as CIF:
```
data_Tl6Hg3S
_chemical_formula_sum 'Tl12 Hg6 S2'
_space_group_name_H-M_alt 'P 1 21/m 1'
_space_group_IT_number 11
_cell_length_a 12.4275
_cell_length_b 3.7750
_cell_length_c 14.2314
_cell_angle_alpha 90.00
_cell_angle_beta 115.47
_cell_angle_gamma 90.00
loop_
_space_group_symop_operation_xyz
'x,y,z'
'-x,-y,-z'
'-x,y+1/2,-z'
'x,-y+1/2,z'
loop_
_atom_site_label
_atom_site_fract_x
_atom_site_fract_y
_atom_site_fract_z
Tl1 0.0844 0.2500 0.2288
Tl2 0.1348 0.7500 0.6831
Tl3 0.2808 0.2500 0.9006
Tl4 0.2952 0.7500 0.1618
Tl5 0.3326 0.7500 0.4395
Tl6 0.3901 0.2500 0.6762
Hg1 0.0786 0.2500 0.9671
Hg2 0.1243 0.2500 0.4843
Hg3 0.4944 0.7500 0.8872
S1 0.4409 0.2500 0.3506
```

6.
The following is a DFT calculation (PBE-GGA) of crystalline MgNi4Sb at its relaxed geometry.

Results
raw formation energy: -0.009 eV per atom
polymorph energy (0 for the lowest one): 69 kJ/mol of formula units

Cell and atoms, written as CIF:
```
data_MgNi4Sb
_chemical_formula_sum 'Mg2 Ni8 Sb2'
_space_group_name_H-M_alt 'P m m a'
_space_group_IT_number 51
_cell_length_a 7.1398
_cell_length_b 3.7745
_cell_length_c 6.5620
_cell_angle_alpha 90.00
_cell_angle_beta 90.00
_cell_angle_gamma 90.00
loop_
_space_group_symop_operation_xyz
'x,y,z'
'-x,-y,-z'
'-x+1/2,-y,z'
'x+1/2,y,-z'
'x+1/2,-y,-z'
'-x+1/2,y,z'
'-x,y,-z'
'x,-y,z'
loop_
_atom_site_label
_atom_site_fract_x
_atom_site_fract_y
_atom_site_fract_z
Mg1 0.2500 0.0000 0.1988
Ni1 0.0000 0.0000 0.5000
Ni2 0.0177 0.5000 0.7784
Ni3 0.2500 0.5000 0.4743
Sb1 0.2500 0.0000 0.7684
```

Calculated volume / Å³/atom: 54.92, 34.31, 31.26, 28.74, 30.14, 14.74
Electronic total energy / eV/atom: -1.3751, -4.7977, -5.6035, -3.2153, -1.9746, -4.8156